Record 1
Entry from Alexandria: crystalline ZrCuSO at its relaxed geometry (PBE-GGA).

The structure in POSCAR format:
```
ZrCuSO
1.0
-0.946 3.312 1.053
-0.855 -1.279 3.257
7.905 1.421 2.633
O S Zr Cu
2 2 2 2
Direct
0.000 0.000 0.000 O
0.500 0.500 0.000 O
0.000 0.500 0.706 S
0.500 0.000 0.294 S
0.500 0.000 0.852 Zr
0.000 0.500 0.148 Zr
0.500 0.500 0.500 Cu
0.000 0.000 0.500 Cu
```

Values from the calculation:
uncorrected formation energy: -1.4719 eV per atom
V: 13.71 Å³/atom
VASP energy: -6.90 eV/atom

---

Record 2
Entry from Alexandria: crystalline Cu2SbO5 at its relaxed geometry (PBE-GGA).

The structure in POSCAR format:
```
Cu2SbO5
1.0
-5.509 -2.462 0.703
3.477 3.437 -3.606
1.320 -5.138 -2.649
O Cu Sb
5 2 1
Direct
0.829 0.506 0.447 O
0.687 0.648 0.937 O
0.365 0.970 0.068 O
0.047 0.288 0.005 O
0.507 0.828 0.573 O
0.212 0.123 0.991 Cu
0.361 0.974 0.432 Cu
0.515 0.820 0.888 Sb
```

Values from the calculation:
uncorrected formation energy: -0.6088 eV per atom
polymorph energy (0 for the lowest one): 1.35 eV per formula unit
V: 15.69 Å³/atom
VASP energy: -5.25 eV/atom

---

Record 3
Entry from Alexandria: crystalline CuSbO at its relaxed geometry (PBE-GGA).

The structure in POSCAR format:
```
CuSbO
1.0
-3.771 3.988 -1.173
1.015 -0.699 -5.638
-4.510 -3.932 1.129
O Sb Cu
4 4 4
Direct
0.607 0.142 0.352 O
0.893 0.142 0.852 O
0.393 0.858 0.648 O
0.107 0.858 0.148 O
0.414 0.330 0.165 Sb
0.914 0.670 0.335 Sb
0.086 0.330 0.665 Sb
0.586 0.670 0.835 Sb
0.532 0.198 0.719 Cu
0.032 0.802 0.781 Cu
0.968 0.198 0.219 Cu
0.468 0.802 0.281 Cu
```

Values from the calculation:
uncorrected formation energy: -0.3597 eV per atom
V: 15.98 Å³/atom
VASP energy: -4.75 eV/atom

---

Record 4
Entry from Alexandria: crystalline Cu2SbO at its relaxed geometry (PBE-GGA).

The structure in POSCAR format:
```
Cu2SbO
1.0
0.000 3.071 3.071
3.071 0.000 3.071
3.071 3.071 0.000
Cu O Sb
2 1 1
Direct
0.750 0.750 0.750 Cu
0.250 0.250 0.250 Cu
0.000 0.000 0.000 O
0.500 0.500 0.500 Sb
```

Values from the calculation:
uncorrected formation energy: 0.4091 eV per atom
polymorph energy (0 for the lowest one): 2.31 eV per formula unit
V: 14.49 Å³/atom
VASP energy: -3.91 eV/atom

---

Record 5
Entry from Alexandria: crystalline CuSbO4 at its relaxed geometry (PBE-GGA).

The structure in POSCAR format:
```
CuSbO4
1.0
4.616 0.000 0.000
0.000 5.071 0.000
0.000 0.000 5.646
O Cu Sb
8 2 2
Direct
0.268 0.329 0.390 O
0.768 0.172 0.107 O
0.232 0.329 0.890 O
0.232 0.828 0.107 O
0.268 0.828 0.607 O
0.732 0.172 0.607 O
0.768 0.671 0.890 O
0.732 0.671 0.390 O
0.000 0.000 0.848 Cu
0.500 0.000 0.348 Cu
0.500 0.500 0.657 Sb
0.000 0.500 0.157 Sb
```

Values from the calculation:
uncorrected formation energy: -0.8886 eV per atom
V: 11.01 Å³/atom
VASP energy: -5.56 eV/atom

---

Record 6
Entry from Alexandria: crystalline CuSbO3 at its relaxed geometry (PBE-GGA).

The structure in POSCAR format:
```
CuSbO3
1.0
-0.239 -2.549 -3.126
1.092 -3.101 2.348
-3.864 -0.809 0.858
O Sb Cu
3 1 1
Direct
0.602 0.602 0.074 O
0.074 0.602 0.602 O
0.602 0.074 0.602 O
0.563 0.563 0.563 Sb
0.967 0.967 0.967 Cu
```

Values from the calculation:
uncorrected formation energy: -0.7176 eV per atom
V: 13.18 Å³/atom
VASP energy: -5.34 eV/atom

---

Record 7
Entry from Alexandria: crystalline CuSbO2 at its relaxed geometry (PBE-GGA).

The structure in POSCAR format:
```
CuSbO2
1.0
1.824 0.000 6.283
-0.912 1.580 6.283
-0.912 -1.580 6.283
O Cu Sb
2 1 1
Direct
0.888 0.888 0.888 O
0.112 0.112 0.112 O
0.500 0.500 0.500 Cu
0.000 0.000 0.000 Sb
```

Values from the calculation:
uncorrected formation energy: -0.5299 eV per atom
V: 13.57 Å³/atom
VASP energy: -5.06 eV/atom

---

Record 8
Entry from Alexandria: crystalline CuSb2O4 at its relaxed geometry (PBE-GGA).

The structure in POSCAR format:
```
CuSb2O4
1.0
-3.037 -5.838 6.225
8.520 -2.450 1.860
0.315 4.213 4.105
O Sb Cu
16 8 4
Direct
0.882 0.588 0.017 O
0.412 0.882 0.517 O
0.202 0.702 0.267 O
0.798 0.298 0.767 O
0.588 0.118 0.517 O
0.298 0.202 0.767 O
0.618 0.088 0.017 O
0.202 0.702 0.767 O
0.702 0.798 0.267 O
0.702 0.798 0.767 O
0.298 0.202 0.267 O
0.118 0.412 0.017 O
0.382 0.912 0.017 O
0.088 0.382 0.517 O
0.798 0.298 0.267 O
0.912 0.618 0.517 O
0.149 0.195 0.017 Sb
0.695 0.649 0.517 Sb
0.195 0.851 0.517 Sb
0.851 0.805 0.017 Sb
0.649 0.305 0.017 Sb
0.351 0.695 0.017 Sb
0.805 0.149 0.517 Sb
0.305 0.351 0.517 Sb
0.500 0.000 0.267 Cu
0.000 0.500 0.767 Cu
0.500 0.000 0.767 Cu
0.000 0.500 0.267 Cu
```

Values from the calculation:
uncorrected formation energy: -1.0770 eV per atom
V: 17.26 Å³/atom
VASP energy: -5.67 eV/atom

---

Record 9
Entry from Alexandria: crystalline CuSbO2 at its relaxed geometry (PBE-GGA).

The structure in POSCAR format:
```
CuSbO2
1.0
4.824 -0.761 3.784
5.957 1.241 1.071
4.109 2.723 3.725
O Cu Sb
2 1 1
Direct
0.104 0.104 0.104 O
0.896 0.896 0.896 O
0.000 0.000 0.000 Cu
0.500 0.500 0.500 Sb
```

Values from the calculation:
uncorrected formation energy: -0.7389 eV per atom
V: 15.97 Å³/atom
VASP energy: -5.27 eV/atom

---

Record 10
Entry from Alexandria: crystalline CuSbO2 at its relaxed geometry (PBE-GGA).

The structure in POSCAR format:
```
CuSbO2
1.0
4.567 0.000 0.000
0.000 4.567 0.000
2.283 2.283 5.680
O Cu Sb
4 2 2
Direct
0.145 0.625 0.250 O
0.605 0.125 0.250 O
0.375 0.395 0.750 O
0.875 0.855 0.750 O
0.500 0.500 0.000 Cu
0.250 0.750 0.500 Cu
0.750 0.250 0.500 Sb
0.000 0.000 0.000 Sb
```

Values from the calculation:
uncorrected formation energy: -0.6109 eV per atom
V: 14.81 Å³/atom
VASP energy: -5.14 eV/atom

---

Record 11
Entry from Alexandria: crystalline CuSbO2 at its relaxed geometry (PBE-GGA).

The structure in POSCAR format:
```
CuSbO2
1.0
3.721 0.000 0.000
1.860 3.222 0.000
0.001 0.000 17.299
O Sb Cu
6 3 3
Direct
0.982 0.666 0.106 O
0.018 0.648 0.894 O
0.666 0.352 0.439 O
0.334 0.018 0.561 O
0.648 0.334 0.228 O
0.352 0.982 0.772 O
0.000 0.799 0.500 Sb
0.201 0.000 0.167 Sb
0.799 0.201 0.833 Sb
0.669 0.331 0.333 Cu
0.000 0.669 0.000 Cu
0.331 0.000 0.667 Cu
```

Values from the calculation:
uncorrected formation energy: -0.7709 eV per atom
V: 17.28 Å³/atom
VASP energy: -5.30 eV/atom

---

Record 12
Entry from Alexandria: crystalline Cu2SbO at its relaxed geometry (PBE-GGA).

The structure in POSCAR format:
```
Cu2SbO
1.0
-3.505 -3.541 2.756
3.904 -4.130 -0.342
1.771 -2.642 4.740
Cu O Sb
4 2 2
Direct
0.375 0.473 0.750 Cu
0.875 0.777 0.750 Cu
0.527 0.125 0.250 Cu
0.223 0.625 0.250 Cu
0.500 0.500 0.000 O
0.250 0.750 0.500 O
0.000 0.000 0.000 Sb
0.750 0.250 0.500 Sb
```

Values from the calculation:
uncorrected formation energy: -0.1688 eV per atom
polymorph energy (0 for the lowest one): 0.00 eV per formula unit
V: 16.40 Å³/atom
VASP energy: -4.49 eV/atom